[1]
# RbSn3Pt PBE optimized geometry
# Excess energy over the best structure of this formula in the dataset (eV per atom): 0.173
# Space-group type: C2/c, No. 15
# Total DFT energy (no corrections) (eV per atom): -3.99
# DFT formation energy (eV/atom): -0.19
data_RbSn3Pt
_chemical_formula_sum 'Rb4 Sn12 Pt4'
_space_group_name_H-M_alt 'P 1'
_space_group_IT_number 1
_cell_length_a 8.930
_cell_length_b 8.930
_cell_length_c 7.705
_cell_angle_alpha 102.88
_cell_angle_beta 102.88
_cell_angle_gamma 73.99
loop_
_space_group_symop_operation_xyz
'x,y,z'
loop_
_atom_site_label
_atom_site_type_symbol
_atom_site_fract_x
_atom_site_fract_y
_atom_site_fract_z
Rb1 Rb 0.012 0.988 0.750
Rb2 Rb 0.333 0.667 0.250
Rb3 Rb 0.667 0.333 0.750
Rb4 Rb 0.988 0.012 0.250
Sn1 Sn 0.010 0.350 0.577
Sn2 Sn 0.024 0.366 0.115
Sn3 Sn 0.321 0.332 0.416
Sn4 Sn 0.332 0.321 0.916
Sn5 Sn 0.350 0.010 0.077
Sn6 Sn 0.366 0.024 0.615
Sn7 Sn 0.634 0.976 0.385
Sn8 Sn 0.650 0.990 0.923
Sn9 Sn 0.668 0.679 0.084
Sn10 Sn 0.679 0.668 0.584
Sn11 Sn 0.976 0.634 0.885
Sn12 Sn 0.990 0.650 0.423
Pt1 Pt 0.237 0.559 0.707
Pt2 Pt 0.441 0.763 0.793
Pt3 Pt 0.559 0.237 0.207
Pt4 Pt 0.763 0.441 0.293

[2]
# RbSn3Pt PBE optimized geometry
# Excess energy over the best structure of this formula in the dataset (eV per atom): 2.188
# Space-group type: Pm-3m, No. 221
# Total DFT energy (no corrections) (eV per atom): -1.98
# DFT formation energy (eV/atom): 1.83
data_RbSn3Pt
_chemical_formula_sum 'Rb1 Sn3 Pt1'
_space_group_name_H-M_alt 'P 1'
_space_group_IT_number 1
_cell_length_a 5.824
_cell_length_b 5.824
_cell_length_c 5.824
_cell_angle_alpha 90.00
_cell_angle_beta 90.00
_cell_angle_gamma 90.00
loop_
_space_group_symop_operation_xyz
'x,y,z'
loop_
_atom_site_label
_atom_site_type_symbol
_atom_site_fract_x
_atom_site_fract_y
_atom_site_fract_z
Rb1 Rb 0.000 0.000 0.000
Sn1 Sn 0.000 0.000 0.500
Sn2 Sn 0.000 0.500 0.000
Sn3 Sn 0.500 0.000 0.000
Pt1 Pt 0.500 0.500 0.500

[3]
# RbSnPt3 PBE optimized geometry
# Excess energy over the best structure of this formula in the dataset (eV per atom): 0.000
# Space-group type: Pm-3m, No. 221
# Total DFT energy (no corrections) (eV per atom): -4.21
# DFT formation energy (eV/atom): 0.41
data_RbSnPt3
_chemical_formula_sum 'Rb1 Sn1 Pt3'
_space_group_name_H-M_alt 'P 1'
_space_group_IT_number 1
_cell_length_a 5.117
_cell_length_b 5.117
_cell_length_c 5.117
_cell_angle_alpha 90.00
_cell_angle_beta 90.00
_cell_angle_gamma 90.00
loop_
_space_group_symop_operation_xyz
'x,y,z'
loop_
_atom_site_label
_atom_site_type_symbol
_atom_site_fract_x
_atom_site_fract_y
_atom_site_fract_z
Rb1 Rb 0.000 0.000 0.000
Sn1 Sn 0.500 0.500 0.500
Pt1 Pt 0.000 0.500 0.500
Pt2 Pt 0.500 0.000 0.500
Pt3 Pt 0.500 0.500 0.000

- The highest DFT formation energy belongs to which entry?
  number 2

- Which of these has the highest excess energy over the best structure of this formula in the dataset?
  number 2